Compound: AcCeHgAu
Source: Alexandria
Functional: PBE
Structure: relaxed

Results
total DFT energy (no corrections) = -3.8937 eV/atom
crystal system = cubic

Cell: 7.7589 7.7589 7.7589 Å, 90.00 90.00 90.00°
Closest atoms and distances in Å follow each position.
Positions (direct):
Ac  0.0000  0.0000  0.0000  4 Hg 3.36, 4 Au 3.36
Ac  0.0000  0.5000  0.5000  4 Hg 3.36, 4 Au 3.36
Ac  0.5000  0.0000  0.5000  4 Hg 3.36, 4 Au 3.36
Ac  0.5000  0.5000  0.0000  4 Hg 3.36, 4 Au 3.36
Ce  0.0000  0.0000  0.5000  4 Au 3.36, 4 Hg 3.36
Ce  0.0000  0.5000  0.0000  4 Au 3.36, 4 Hg 3.36
Ce  0.5000  0.0000  0.0000  4 Au 3.36, 4 Hg 3.36
Ce  0.5000  0.5000  0.5000  4 Au 3.36, 4 Hg 3.36
Hg  0.2500  0.2500  0.2500  4 Ce 3.36, 4 Ac 3.36
Hg  0.2500  0.7500  0.7500  4 Ac 3.36, 4 Ce 3.36
Hg  0.7500  0.2500  0.7500  4 Ac 3.36, 4 Ce 3.36
Hg  0.7500  0.7500  0.2500  4 Ac 3.36, 4 Ce 3.36
Au  0.2500  0.2500  0.7500  4 Ac 3.36, 4 Ce 3.36
Au  0.2500  0.7500  0.2500  4 Ac 3.36, 4 Ce 3.36
Au  0.7500  0.2500  0.2500  4 Ac 3.36, 4 Ce 3.36
Au  0.7500  0.7500  0.7500  4 Ac 3.36, 4 Ce 3.36

---

Compound: TiAg2AsAu
Source: Alexandria
Functional: PBE
Structure: relaxed

Results
total DFT energy (no corrections) = -3.4321 eV/atom
crystal system = tetragonal

Cell: 5.0706 5.0706 4.8317 Å, 90.00 90.00 90.00°
Closest atoms and distances in Å follow each position.
Positions (direct):
Ti  0.0000  0.0000  0.0000  8 Ag 3.50, 4 As 3.59
Ag  0.0000  0.5000  0.5000  2 Au 2.54
Ag  0.5000  0.0000  0.5000  2 Au 2.54
As  0.5000  0.5000  0.0000  2 Au 2.42
Au  0.5000  0.5000  0.5000  2 As 2.42, 4 Ag 2.54

---

Compound: Sr2CoW
Source: Alexandria
Functional: PBE
Structure: relaxed

Results
E above lowest polymorph = 0.000 eV/atom
crystal system = tetragonal

Cell: 3.3365 3.3365 9.4053 Å, 90.00 90.00 90.00°
Closest atoms and distances in Å follow each position.
Positions (direct):
Sr  0.0000  0.0000  0.0000  1 W 3.17, 4 Sr 3.34, 4 Co 3.37
Sr  0.5000  0.5000  0.3920  1 Co 3.31, 4 Sr 3.34, 4 W 3.48
Co  0.5000  0.5000  0.7440  4 W 2.48
W  0.0000  0.0000  0.6634  4 Co 2.48

---

Number 1: total magnetization 1.18 μB/f.u., ρ 10.87 g/cm3. Number 2: total magnetization 0.21 μB/f.u., ρ 7.16 g/cm3. Number 3: total magnetization 0.00 μB/f.u., ρ 6.63 g/cm3.